The following is a DFT calculation (PBE) of Sc3S2N after structural relaxation.

Lattice parameters (Å, degrees): 3.4253 5.0150 10.9624 90.00 90.00 90.00
Closest atoms and distances in Å follow each position.
Space group Immm (No. 71)
Symmetry-distinct sites (fractional):
Sc: 0.0000 0.0000 0.0000 x2  2 N 2.51, 4 S 2.56
Sc: 0.0000 0.0000 0.3656 x4  2 N 2.26
S: 0.0000 0.5000 0.3260 x4  6 Sc 2.54-2.71
N: 0.0000 0.5000 0.0000 x2  6 Sc 2.26-2.51

Values from the calculation:
Uncorrected energy = -7.7413 eV/atom
Energy above the most stable polymorph in this dataset = 22 meV per atom
Magnetization = 0.00 μB/f.u.
Uncorrected formation energy = -1.812 eV per atom
N(E_F) = 4.6 states/eV/cell


The following is a DFT calculation (PBE) of PaNbSi2Pd after structural relaxation.

Lattice parameters (Å, degrees): 4.0687 4.0687 10.9375 90.00 90.00 90.00
Closest atoms and distances in Å follow each position.
Space group I-4m2 (No. 119)
Symmetry-distinct sites (fractional):
Pa: 0.0000 0.0000 0.0000 x2  8 Si 3.11, 4 Pd 3.41, 4 Nb 3.41
Nb: 0.0000 0.5000 0.2500 x2  4 Si 2.56
Si: 0.0000 0.0000 0.3923 x4  1 Si 2.36, 2 Nb 2.56, 2 Pd 2.56
Pd: 0.0000 0.5000 0.7500 x2  4 Si 2.56

Values from the calculation:
Uncorrected energy = -7.6765 eV/atom
Magnetization = 0.00 μB/f.u.
Uncorrected formation energy = -0.556 eV per atom
N(E_F) = 11.4 states/eV/cell


The following is a DFT calculation (PBE) of DyZr3Zn4 after structural relaxation.

Lattice parameters (Å, degrees): 4.7993 4.7993 23.4932 90.00 90.00 120.00
Closest atoms and distances in Å follow each position.
Space group R-3m (No. 166, hexagonal axes)
Symmetry-distinct sites (fractional):
Dy: 0.0000 0.0000 0.0000 x3  8 Zn 2.95
Zr: 0.0000 0.0000 0.2472 x6  8 Zn 2.86-3.03
Zr: 0.0000 0.0000 0.5000 x3  8 Zn 2.91-2.93
Zn: 0.0000 0.0000 0.1256 x6  7 Zr 2.86-2.93, 1 Dy 2.95
Zn: 0.0000 0.0000 0.3760 x6  5 Zr 2.91-3.03, 3 Dy 2.95

Values from the calculation:
Formation energy = -0.26 eV per atom
Uncorrected energy = -4.6737 eV/atom
Magnetization = 0.00 μB/f.u.
N(E_F) = 23.5 states/eV/cell


The following is a DFT calculation (PBE) of Sr2Zn3GeAu4 after structural relaxation.

Lattice parameters (Å, degrees): 4.6404 4.6404 10.2419 90.00 90.00 90.00
Closest atoms and distances in Å follow each position.
Space group P-4m2 (No. 115)
Symmetry-distinct sites (fractional):
Sr: 0.0000 0.5000 0.2490 x2  8 Au 3.45-3.52, 2 Ge 3.46, 7 Zn 3.46-3.80
Zn: 0.0000 0.5000 0.8778 x2  5 Au 2.58-2.64
Zn: 0.5000 0.5000 0.5000 x1  4 Au 2.66
Ge: 0.0000 0.0000 0.5000 x1  4 Au 2.66
Au: 0.0000 0.0000 0.0000 x1  4 Zn 2.64
Au: 0.0000 0.5000 0.6263 x2  3 Zn 2.58-2.66, 2 Ge 2.66
Au: 0.5000 0.5000 0.0000 x1  4 Zn 2.64

Values from the calculation:
Formation energy = -0.51 eV per atom
Uncorrected energy = -2.9970 eV/atom
Magnetization = 0.00 μB/f.u.
N(E_F) = 4.4 states/eV/cell


The following is a DFT calculation (PBE) of BaNbTlS4 after structural relaxation.

Lattice parameters (Å, degrees): 7.4669 6.9619 8.9146 90.00 106.46 90.00
Closest atoms and distances in Å follow each position.
Space group P2_1/m (No. 11)
Symmetry-distinct sites (fractional):
Ba: 0.2387 0.2500 0.0622 x2  6 S 3.18-3.35
Nb: 0.2156 0.7500 0.8030 x2  4 S 2.28-2.30
Tl: 0.2550 0.2500 0.5647 x2  6 S 3.27-3.64
S: 0.0165 0.0084 0.7568 x4  1 Nb 2.30
S: 0.3891 0.7500 0.0599 x2  1 Nb 2.29
S: 0.4042 0.7500 0.6418 x2  1 Nb 2.28

Values from the calculation:
Uncorrected energy = -5.5928 eV/atom
Magnetization = 0.00 μB/f.u.
Uncorrected formation energy = -1.183 eV per atom
N(E_F) = 0.0 states/eV/cell


The following is a DFT calculation (PBE) of TiGeAs4 after structural relaxation.

Lattice parameters (Å, degrees): 6.3221 6.3083 6.2945 90.00 90.62 90.00
Closest atoms and distances in Å follow each position.
Space group P2_1/c (No. 14)
Symmetry-distinct sites (fractional):
Ti: 0.0000 0.0000 0.0000 x2  6 As 2.58-2.61
Ge: 0.5000 0.0000 0.5000 x2  6 As 2.68-2.69
As: 0.1065 0.1170 0.3850 x4  1 As 2.48, 2 Ti 2.61, 1 Ge 2.69
As: 0.3788 0.6070 0.3936 x4  1 As 2.43, 1 Ti 2.58, 2 Ge 2.68-2.69

Values from the calculation:
Formation energy = -0.13 eV per atom
Uncorrected energy = -5.3156 eV/atom
Magnetization = 0.00 μB/f.u.
N(E_F) = 4.3 states/eV/cell